(1)
Computed, not measured: crystalline VRhS2 at its relaxed geometry at the PBE level of DFT.

a = 7.784 Å, b = 7.784 Å, c = 7.784 Å
α = 22.49°, β = 22.49°, γ = 22.49°
Site moments in Bohr magnetons follow the coordinates.
Atoms (fractional coordinates):
S1 0.901 0.901 0.901  0.00
S2 0.099 0.099 0.099  0.00
Rh1 0.000 0.000 0.000  0.25
V1 0.500 0.500 0.500  -0.01

Output
ΔE_f (raw) (eV per atom): -0.564
Crystal system: trigonal



(2)
Computed, not measured: crystalline ErThAsSe at its relaxed geometry at the PBE level of DFT.

a = 4.130 Å, b = 4.130 Å, c = 7.248 Å
α = 73.45°, β = 73.45°, γ = 60.00°
Atoms (fractional coordinates):
Er1 0.746 0.746 0.761
Th1 0.253 0.253 0.240
As1 0.005 0.005 0.985
Se1 0.495 0.495 0.515

Output
ΔE_f (raw) (eV per atom): -1.555
Crystal system: trigonal



(3)
Computed, not measured: crystalline Rb6TeCl12 at its relaxed geometry at the PBE level of DFT.

a = 9.170 Å, b = 9.170 Å, c = 9.170 Å
α = 97.77°, β = 97.77°, γ = 97.77°
Site moments in Bohr magnetons follow the coordinates.
Atoms (fractional coordinates):
Rb1 0.721 0.838 0.378  0.00
Rb2 0.622 0.279 0.162  0.00
Rb3 0.162 0.622 0.279  0.00
Rb4 0.279 0.162 0.622  0.00
Rb5 0.378 0.721 0.838  0.00
Rb6 0.838 0.378 0.721  0.00
Te1 0.000 0.000 0.000  0.00
Cl1 0.854 0.529 0.418  0.25
Cl2 0.418 0.854 0.529  0.25
Cl3 0.529 0.418 0.854  0.25
Cl4 0.146 0.471 0.582  0.25
Cl5 0.582 0.146 0.471  0.25
Cl6 0.471 0.582 0.146  0.25
Cl7 0.058 0.983 0.280  0.00
Cl8 0.017 0.720 0.942  0.00
Cl9 0.720 0.942 0.017  0.00
Cl10 0.942 0.017 0.720  0.00
Cl11 0.983 0.280 0.058  0.00
Cl12 0.280 0.058 0.983  0.00

Output
ΔE_f (raw) (eV per atom): -1.334
Crystal system: trigonal



(4)
Computed, not measured: crystalline SrRh3O at its relaxed geometry at the PBE level of DFT.

a = 5.094 Å, b = 5.094 Å, c = 5.094 Å
α = 90.00°, β = 90.00°, γ = 90.00°
Site moments in Bohr magnetons follow the coordinates.
Atoms (fractional coordinates):
Sr1 0.000 0.000 0.000  -0.06
Rh1 0.000 0.500 0.000  1.10
Rh2 0.000 0.000 0.500  0.80
Rh3 0.500 0.000 0.000  1.17
O1 0.500 0.500 0.500  1.13

Output
ΔE_f (raw) (eV per atom): 2.309
Energy above the lowest structure with this stoichiometry (meV per atom): 2337.9
Crystal system: cubic



(5)
Computed, not measured: crystalline Ba2GePbN at its relaxed geometry at the PBE level of DFT.

a = 4.479 Å, b = 7.321 Å, c = 10.092 Å
α = 110.99°, β = 90.00°, γ = 90.00°
Atoms (fractional coordinates):
Ba1 0.750 0.779 0.637
Ba2 0.750 0.791 0.035
Ba3 0.250 0.221 0.363
Ba4 0.250 0.209 0.965
Ge1 0.250 0.547 0.785
Ge2 0.750 0.453 0.215
Pb1 0.250 0.698 0.316
Pb2 0.750 0.302 0.684
N1 0.250 0.819 0.831
N2 0.750 0.181 0.169

Output
ΔE_f (raw) (eV per atom): -0.523
Energy above the lowest structure with this stoichiometry (meV per atom): 0.0
Crystal system: monoclinic



(6)
Computed, not measured: crystalline SrMn2I at its relaxed geometry at the PBE level of DFT.

a = 4.926 Å, b = 4.926 Å, c = 10.637 Å
α = 76.61°, β = 76.61°, γ = 90.00°
Site moments in Bohr magnetons follow the coordinates.
Atoms (fractional coordinates):
I1 0.000 0.000 0.000  0.01
I2 0.750 0.250 0.500  0.01
Sr1 0.500 0.500 0.000  -0.05
Sr2 0.250 0.750 0.500  -0.05
Mn1 0.874 0.125 0.250  3.44
Mn2 0.876 0.625 0.250  3.44
Mn3 0.375 0.126 0.750  3.60
Mn4 0.875 0.124 0.750  3.59

Output
ΔE_f (raw) (eV per atom): 0.546
Energy above the lowest structure with this stoichiometry (meV per atom): 0.0
Crystal system: tetragonal



(7)
Computed, not measured: crystalline La4AsSe3 at its relaxed geometry at the PBE level of DFT.

a = 4.324 Å, b = 7.502 Å, c = 7.502 Å
α = 109.31°, β = 90.00°, γ = 90.00°
Atoms (fractional coordinates):
As1 0.500 0.000 0.000
Se1 0.000 0.000 0.500
Se2 0.500 0.500 0.500
Se3 0.000 0.500 0.000
La1 0.000 0.244 0.244
La2 0.500 0.753 0.247
La3 0.000 0.756 0.756
La4 0.500 0.247 0.753

Output
ΔE_f (raw) (eV per atom): -1.926
Crystal system: orthorhombic



(8)
Computed, not measured: crystalline MnTl2Cr2S6 at its relaxed geometry at the PBE level of DFT.

a = 6.111 Å, b = 6.111 Å, c = 7.718 Å
α = 97.83°, β = 97.83°, γ = 120.13°
Site moments in Bohr magnetons follow the coordinates.
Atoms (fractional coordinates):
Mn1 0.000 0.000 0.500  3.15
Tl1 0.831 0.169 0.000  0.00
Tl2 0.169 0.831 0.000  0.00
Cr1 0.332 0.668 0.500  2.85
Cr2 0.668 0.332 0.500  2.85
S1 0.730 0.730 0.672  -0.07
S2 0.061 0.389 0.672  -0.07
S3 0.270 0.270 0.328  -0.07
S4 0.389 0.061 0.672  -0.07
S5 0.939 0.611 0.328  -0.07
S6 0.611 0.939 0.328  -0.07

Output
ΔE_f (raw) (eV per atom): -0.589
Crystal system: monoclinic



(9)
Computed, not measured: crystalline PmDy2Sb at its relaxed geometry at the PBE level of DFT.

a = 3.991 Å, b = 3.991 Å, c = 7.372 Å
α = 90.00°, β = 90.00°, γ = 90.00°
Atoms (fractional coordinates):
Sb1 0.500 0.500 0.500
Pm1 0.500 0.500 0.000
Dy1 0.000 0.000 0.718
Dy2 0.000 0.000 0.282

Output
ΔE_f (raw) (eV per atom): -0.476
Energy above the lowest structure with this stoichiometry (meV per atom): 85.5
Crystal system: tetragonal



(10)
Computed, not measured: crystalline NaSnMoH at its relaxed geometry at the PBE level of DFT.

a = 2.949 Å, b = 5.299 Å, c = 8.212 Å
α = 90.00°, β = 90.00°, γ = 90.00°
Atoms (fractional coordinates):
Na1 0.000 0.500 0.277
Na2 0.500 0.000 0.777
Sn1 0.000 0.000 0.105
Sn2 0.500 0.500 0.605
Mo1 0.000 0.500 0.910
Mo2 0.500 0.000 0.410
H1 0.000 0.000 0.549
H2 0.500 0.500 0.049

Output
Energy above the lowest structure with this stoichiometry (meV per atom): 135.1
Crystal system: orthorhombic



(11)
Computed, not measured: crystalline MgMnPbCl6 at its relaxed geometry at the PBE level of DFT.

a = 6.560 Å, b = 6.560 Å, c = 12.579 Å
α = 90.00°, β = 90.00°, γ = 120.00°
Site moments in Bohr magnetons follow the coordinates.
Atoms (fractional coordinates):
Mg1 0.667 0.333 0.250  0.00
Mg2 0.333 0.667 0.750  0.00
Mn1 0.333 0.667 0.250  4.42
Mn2 0.667 0.333 0.750  4.42
Pb1 0.000 0.000 0.000  0.02
Pb2 0.000 0.000 0.500  0.02
Cl1 0.637 0.636 0.137  0.03
Cl2 0.999 0.363 0.137  0.03
Cl3 0.363 0.999 0.637  0.03
Cl4 0.001 0.637 0.863  0.03
Cl5 0.364 0.363 0.363  0.03
Cl6 0.999 0.636 0.363  0.03
Cl7 0.636 0.999 0.863  0.03
Cl8 0.637 0.001 0.363  0.03
Cl9 0.001 0.364 0.637  0.03
Cl10 0.364 0.001 0.137  0.03
Cl11 0.636 0.637 0.637  0.03
Cl12 0.363 0.364 0.863  0.03

Output
ΔE_f (raw) (eV per atom): -1.358
Crystal system: trigonal



(12)
Computed, not measured: crystalline CdSi2P at its relaxed geometry at the PBE level of DFT.

a = 5.374 Å, b = 5.374 Å, c = 5.374 Å
α = 144.70°, β = 127.58°, γ = 64.78°
Atoms (fractional coordinates):
Cd1 0.750 0.250 0.500
P1 0.250 0.750 0.500
Si1 0.046 0.046 0.000
Si2 0.454 0.454 0.000

Output
ΔE_f (raw) (eV per atom): 0.446
Energy above the lowest structure with this stoichiometry (meV per atom): 392.9
Crystal system: orthorhombic



(13)
Computed, not measured: crystalline Sm2ScAl4Pt3 at its relaxed geometry at the PBE level of DFT.

a = 4.202 Å, b = 4.202 Å, c = 11.278 Å
α = 90.00°, β = 90.00°, γ = 90.00°
Atoms (fractional coordinates):
Sm1 0.500 0.000 0.237
Sm2 0.000 0.500 0.763
Sc1 0.500 0.500 0.500
Al1 0.500 0.500 0.000
Al2 0.000 0.000 0.000
Al3 0.500 0.000 0.656
Al4 0.000 0.500 0.344
Pt1 0.000 0.000 0.500
Pt2 0.500 0.000 0.874
Pt3 0.000 0.500 0.126

Output
Electronic total energy (eV per atom): -5.844
Crystal system: tetragonal



(14)
Computed, not measured: crystalline KRb2TcBr8 at its relaxed geometry at the PBE level of DFT.

a = 6.508 Å, b = 7.341 Å, c = 10.381 Å
α = 89.69°, β = 90.29°, γ = 104.02°
Site moments in Bohr magnetons follow the coordinates.
Atoms (fractional coordinates):
K1 0.000 0.000 0.500  0.00
Rb1 0.504 0.497 0.761  0.00
Rb2 0.496 0.503 0.239  0.00
Tc1 0.000 0.000 0.000  2.08
Br1 0.069 0.780 0.176  0.05
Br2 0.619 0.828 0.997  -0.02
Br3 0.927 0.216 0.175  0.05
Br4 0.931 0.220 0.824  0.05
Br5 0.381 0.172 0.003  -0.02
Br6 0.073 0.784 0.825  0.05
Br7 0.494 0.774 0.501  0.20
Br8 0.506 0.226 0.499  0.20

Output
ΔE_f (raw) (eV per atom): -0.979
Crystal system: triclinic



(15)
Computed, not measured: crystalline Cs2TaSbCl6 at its relaxed geometry at the PBE level of DFT.

a = 7.527 Å, b = 7.527 Å, c = 8.231 Å
α = 62.79°, β = 62.79°, γ = 90.00°
Site moments in Bohr magnetons follow the coordinates.
Atoms (fractional coordinates):
Cs1 0.750 0.250 0.500  0.00
Cs2 0.250 0.750 0.500  0.00
Sb1 0.500 0.500 0.000  0.20
Cl1 0.195 0.195 0.611  -0.01
Cl2 0.805 0.805 0.389  -0.01
Cl3 0.231 0.231 0.000  0.01
Cl4 0.769 0.769 0.000  0.01
Cl5 0.769 0.231 0.000  0.01
Cl6 0.231 0.769 0.000  0.01
Ta1 0.000 0.000 0.000  1.05

Output
ΔE_f (raw) (eV per atom): -1.142
Crystal system: tetragonal



(16)
Computed, not measured: crystalline In2CuTc at its relaxed geometry at the PBE level of DFT.

a = 4.783 Å, b = 4.783 Å, c = 5.485 Å
α = 79.34°, β = 79.34°, γ = 35.44°
Atoms (fractional coordinates):
Cu1 0.250 0.250 0.250
In1 0.997 0.997 0.002
In2 0.503 0.503 0.498
Tc1 0.750 0.750 0.750

Output
Energy above the lowest structure with this stoichiometry (meV per atom): 186.6
Crystal system: monoclinic



(17)
Computed, not measured: crystalline GeAsAu at its relaxed geometry at the PBE level of DFT.

a = 4.713 Å, b = 3.819 Å, c = 3.819 Å
α = 120.00°, β = 90.00°, γ = 90.00°
Atoms (fractional coordinates):
As1 0.654 0.333 0.667
Au1 0.003 0.000 0.000
Ge1 0.343 0.667 0.333

Output
Energy above the lowest structure with this stoichiometry (meV per atom): 168.0
Crystal system: trigonal



(18)
Computed, not measured: crystalline CsGa4Sn3 at its relaxed geometry at the PBE level of DFT.

a = 5.223 Å, b = 5.223 Å, c = 8.150 Å
α = 90.00°, β = 90.00°, γ = 90.00°
Atoms (fractional coordinates):
Cs1 0.000 0.000 0.500
Ga1 0.500 0.000 0.168
Ga2 0.000 0.500 0.168
Ga3 0.500 0.000 0.832
Ga4 0.000 0.500 0.832
Sn1 0.000 0.000 0.000
Sn2 0.500 0.500 0.313
Sn3 0.500 0.500 0.687

Output
Electronic total energy (eV per atom): -3.195
Crystal system: tetragonal



(19)
Computed, not measured: crystalline GaNi2As at its relaxed geometry at the PBE level of DFT.

a = 3.887 Å, b = 3.887 Å, c = 8.300 Å
α = 76.46°, β = 76.46°, γ = 90.00°
Atoms (fractional coordinates):
Ni1 0.645 0.125 0.250
Ni2 0.105 0.625 0.250
Ni3 0.375 0.355 0.750
Ni4 0.875 0.895 0.750
As1 0.000 0.000 0.000
As2 0.750 0.250 0.500
Ga1 0.500 0.500 0.000
Ga2 0.250 0.750 0.500

Output
Energy above the lowest structure with this stoichiometry (meV per atom): 274.0
Crystal system: tetragonal



(20)
Computed, not measured: crystalline Y5TmTe6 at its relaxed geometry at the PBE level of DFT.

a = 7.532 Å, b = 7.539 Å, c = 7.553 Å
α = 60.06°, β = 80.40°, γ = 70.48°
Atoms (fractional coordinates):
Y1 0.500 0.172 0.656
Y2 0.000 0.332 0.336
Y3 0.500 0.500 0.000
Y4 0.000 0.668 0.664
Y5 0.500 0.828 0.344
Tm1 0.000 0.000 0.000
Te1 0.753 0.083 0.328
Te2 0.247 0.589 0.328
Te3 0.250 0.245 0.000
Te4 0.750 0.755 0.000
Te5 0.753 0.411 0.672
Te6 0.247 0.917 0.672

Output
ΔE_f (raw) (eV per atom): -1.288
Crystal system: monoclinic



(21)
Computed, not measured: crystalline Tb2Tm3Bi2 at its relaxed geometry at the PBE level of DFT.

a = 4.320 Å, b = 6.412 Å, c = 8.555 Å
α = 107.41°, β = 90.00°, γ = 109.68°
Atoms (fractional coordinates):
Tb1 0.879 0.758 0.232
Tb2 0.121 0.242 0.768
Tm1 0.500 0.000 0.000
Tm2 0.625 0.251 0.444
Tm3 0.375 0.749 0.556
Bi1 0.824 0.649 0.811
Bi2 0.176 0.351 0.189

Output
Electronic total energy (eV per atom): -4.790
Crystal system: monoclinic



(22)
Computed, not measured: crystalline YAgHg2Cl at its relaxed geometry at the PBE level of DFT.

a = 5.451 Å, b = 4.867 Å, c = 5.451 Å
α = 90.00°, β = 90.00°, γ = 90.00°
Atoms (fractional coordinates):
Y1 0.500 0.500 0.500
Hg1 0.000 0.000 0.500
Hg2 0.500 0.000 0.000
Ag1 0.000 0.000 0.000
Cl1 0.000 0.500 0.000

Output
ΔE_f (raw) (eV per atom): 0.064
Crystal system: tetragonal



(23)
Computed, not measured: crystalline Li3CaTl4 at its relaxed geometry at the PBE level of DFT.

a = 5.089 Å, b = 5.089 Å, c = 8.899 Å
α = 73.38°, β = 73.38°, γ = 60.00°
Atoms (fractional coordinates):
Ca1 0.000 0.000 0.000
Tl1 0.870 0.870 0.390
Tl2 0.383 0.383 0.852
Tl3 0.130 0.130 0.610
Tl4 0.617 0.617 0.148
Li1 0.250 0.250 0.249
Li2 0.750 0.750 0.751
Li3 0.500 0.500 0.500

Output
Electronic total energy (eV per atom): -2.402
Crystal system: trigonal



(24)
Computed, not measured: crystalline ZrCoRu2 at its relaxed geometry at the PBE level of DFT.

a = 4.189 Å, b = 2.893 Å, c = 5.166 Å
α = 74.31°, β = 90.00°, γ = 90.00°
Site moments in Bohr magnetons follow the coordinates.
Atoms (fractional coordinates):
Co1 0.500 0.940 0.742  0.40
Ru1 0.000 0.809 0.019  0.06
Ru2 0.500 0.221 0.191  0.01
Zr1 0.000 0.531 0.547  -0.02

Output
Energy above the lowest structure with this stoichiometry (meV per atom): 116.3
Crystal system: monoclinic